{"formula": "BaFe2O4", "functional": "PBE with a Hubbard U", "state": "relaxed", "e_above_lowest_polymorph_mev_per_atom": 53, "mass_density_g_cm3": 4.3, "n_ef_per_ev_cell": 0.000, "total_magnetization_mub_per_fu": 10.000, "lattice": [[-4.5068, 2.3273, -2.1335], [0.1051, -5.4162, 0.9660], [-3.2798, 1.4551, 8.5155]], "species": ["Fe", "O", "O", "O", "Fe", "O", "Fe", "Fe", "O", "Ba", "O", "Ba", "O", "O"], "fractional_positions": [[0.3333, 0.6667, 0.4523], [0.6723, 0.6723, 0.0000], [0.3277, 0.3277, 0.5000], [0.3277, 0.0000, 0.0000], [0.6667, 0.3333, 0.9523], [0.3333, 0.6667, 0.2500], [0.3333, 0.6667, 0.0477], [0.6667, 0.3333, 0.5477], [0.6723, 0.0000, 0.5000], [0.0000, 0.0000, 0.7500], [0.0000, 0.6723, 0.5000], [0.0000, 0.0000, 0.2500], [0.0000, 0.3277, 0.0000], [0.6667, 0.3333, 0.7500]]}